No. 1
A relaxed structure of LaIn2CuO, computed with PBEsol.

Lattice parameters (Å, degrees): 4.7908 4.7908 4.6710 90.00 90.00 90.00
Space group P4/mmm (No. 123)
One atom of each set of equivalent atoms:
La (0.0000, 0.0000, 0.0000) (multiplicity 1)
In (0.0000, 0.5000, 0.5000) (multiplicity 2)
Cu (0.5000, 0.5000, 0.0000) (multiplicity 1)
O (0.0000, 0.0000, 0.5000) (multiplicity 1)

Summary:
Formation energy from raw total energies = -0.622 eV per atom

=====

No. 2
A relaxed structure of Zr2ReCl, computed with PBEsol.

Lattice parameters (Å, degrees): 3.2325 5.0637 9.6417 90.00 90.00 90.00
Space group Cmm2 (No. 35)
One atom of each set of equivalent atoms:
Zr (0.0000, 0.0000, 0.0000) (multiplicity 2)
Zr (0.0000, 0.5000, 0.2720) (multiplicity 2)
Re (0.0000, 0.5000, 0.7916) (multiplicity 2)
Cl (0.0000, 0.0000, 0.4765) (multiplicity 2)

Summary:
Formation energy from raw total energies = 0.001 eV per atom
E above lowest polymorph = 1.497 eV/f.u.

=====

No. 3
A relaxed structure of Sr2HPb, computed with PBEsol.

Lattice parameters (Å, degrees): 7.7450 7.7450 7.7450 90.00 90.00 90.00
Space group Fm-3m (No. 225)
One atom of each set of equivalent atoms:
Sr (0.2500, 0.2500, 0.2500) (multiplicity 8)
H (0.0000, 0.0000, 0.0000) (multiplicity 4)
Pb (0.0000, 0.0000, 0.5000) (multiplicity 4)

Summary:
Raw total energy = -11.65 eV/f.u.

=====

Number 1: volume 21.4 Å³/atom, Fermi-level density of states 0.476 states/eV per atom. Number 2: volume 19.7 Å³/atom, Fermi-level density of states 0.901 states/eV per atom. Number 3: volume 29.0 Å³/atom, Fermi-level density of states 1.294 states/eV per atom.